No. 1
First-principles (PBE) data for an optimized crystal structure of NaSrTm, as listed in OQMD.

Results
offset from the most stable computed form = 0.0000 eV/atom
raw total energy = -1.826 eV per atom
magnetic moment = 0.0 μB/cell

Cell lengths 5.659, 5.659, 5.659 Å; angles 60.00, 60.00, 60.00 degrees
Element x y z (fractional)
Na1 0.000 0.000 0.000
Tm1 0.750 0.750 0.750
Sr1 0.250 0.250 0.250

=====

No. 2
First-principles (PBE) data for an optimized crystal structure of LuTlHgS3, as listed in OQMD.

Results
offset from the most stable computed form = 0.0380 eV/atom
raw total energy = -4.203 eV per atom
magnetic moment = 0.0 μB/cell

Cell lengths 14.307, 4.053, 10.879 Å; angles 90.00, 90.00, 90.00 degrees
Element x y z (fractional)
Lu1 0.524 0.250 0.350
Hg1 0.479 0.250 0.894
S1 0.591 0.750 0.868
Hg2 0.979 0.250 0.606
Tl1 0.747 0.250 0.049
S2 0.410 0.750 0.425
Tl2 0.247 0.250 0.451
S3 0.140 0.750 0.223
Lu2 0.476 0.750 0.650
S4 0.590 0.250 0.575
S5 0.090 0.250 0.925
S6 0.909 0.250 0.368
S7 0.640 0.750 0.277
S8 0.091 0.750 0.632
Tl3 0.253 0.750 0.951
S9 0.910 0.750 0.075
S10 0.360 0.250 0.723
S11 0.409 0.250 0.132
Hg3 0.021 0.750 0.394
Lu3 0.024 0.250 0.150
Hg4 0.521 0.750 0.106
Lu4 0.976 0.750 0.850
S12 0.860 0.250 0.777
Tl4 0.753 0.750 0.549

=====

| no. | calculated volume (Å³ per cell) |
| --- | --- |
| 1 | 128.1 |
| 2 | 630.8 |